Sr2LaIr | PBEsol | relaxed

Cell lengths 3.883, 9.037, 9.037 Å; angles 27.08, 90.00, 90.00 degrees
Fractional positions:
1 Sr 0.000 0.000 0.000
2 Sr 0.500 0.318 0.318
3 La 0.500 0.651 0.651
4 Ir 0.000 0.174 0.174

Formation energy from the elements, eV/atom: -0.2602
Energy above the lowest structure with this stoichiometry, eV per atom: 0.000
DFT total energy, eV per atom: -4.9728
Space group: Amm2